DFT (PBE) results for VGeMoI2 after structural relaxation.

```
data_VGeMoI2
_space_group_name_H-M_alt 'P 1'
_space_group_IT_number 1
_cell_length_a 5.453
_cell_length_b 5.453
_cell_length_c 4.734
_cell_angle_alpha 90.00
_cell_angle_beta 90.00
_cell_angle_gamma 90.00
loop_
_space_group_symop_operation_xyz
'x,y,z'
loop_
_atom_site_label
_atom_site_fract_x
_atom_site_fract_y
_atom_site_fract_z
V1 0.000 0.000 0.000
Ge1 0.500 0.500 0.000
Mo1 0.000 0.000 0.500
I1 0.000 0.500 0.500
I2 0.500 0.000 0.500
```

Results
M_tot (μB/f.u.): 1.00
Energy relative to the elements, uncorrected (eV per atom): 1.115